No. 1
This record from Alexandria describes a relaxed AcSm2CrO8 crystal. The functional is GGA+U.

CIF file:
```
data_AcSm2CrO8
_cell_length_a 5.1944
_cell_length_b 5.1944
_cell_length_c 6.9364
_cell_angle_alpha 90.00
_cell_angle_beta 90.00
_cell_angle_gamma 120.00
_symmetry_space_group_name_H-M 'P -3 m 1'
_symmetry_Int_Tables_number 164
_symmetry_space_group_name_Hall '-P 3 2"'
loop_
_atom_site_label
_atom_site_type_symbol
_atom_site_fract_x
_atom_site_fract_y
_atom_site_fract_z
_atom_site_occupancy
Ac1 Ac 0.0000 0.0000 0.0000 1
Sm1 Sm 0.3333 0.6667 0.3651 1
Cr1 Cr 0.0000 0.0000 0.5000 1
O1 O 0.1635 0.3271 0.6562 1
O2 O 0.3333 0.6667 0.0570 1
```

For the magnetization, the calculation gives 1.0 μB/f.u. For the total DFT energy (no corrections), the calculation gives -87.1 eV for the cell shown.

***

No. 2
This record from Alexandria describes a relaxed LiFe2O2 crystal. The functional is GGA+U.

CIF file:
```
data_LiFe2O2
_cell_length_a 3.836
_cell_length_b 3.836
_cell_length_c 8.209
_cell_angle_alpha 90.00
_cell_angle_beta 90.00
_cell_angle_gamma 90.00
_symmetry_space_group_name_H-M 'I 4/m m m'
_symmetry_Int_Tables_number 139
_symmetry_space_group_name_Hall '-I 4 2'
loop_
_atom_site_label
_atom_site_type_symbol
_atom_site_fract_x
_atom_site_fract_y
_atom_site_fract_z
_atom_site_occupancy
Li1 Li 0.000 0.000 0.000 1
Fe1 Fe 0.000 0.000 0.348 1
O1 O 0.000 0.500 0.250 1
```

For the magnetization, the calculation gives 7.5 μB/f.u. For the total DFT energy (no corrections), the calculation gives -53.2 eV for the cell shown.